Entry from Alexandria: crystalline SrTeSe2 at its relaxed geometry (PBE).

Uncorrected energy = -3.92 eV/atom
Uncorrected formation energy = -0.98 eV/atom

Structure (POSCAR):
```
SrTeSe2
1.0
4.282 0.000 0.000
0.000 5.056 0.000
-1.538 0.000 5.630
Sr Te Se
1 1 2
Cartesian
0.000 0.000 0.000 Sr
1.279 2.528 2.449 Te
0.596 2.528 5.189 Se
2.252 0.000 2.485 Se
```